[1]
# Mg6AlAg12, optimized geometry, DFT PBE
# Crystal system: trigonal
# Fermi-level density of states: 0.337 states/eV/atom
# Space-group type: R-3, No. 148
# ΔE_f: -110 meV/atom
data_Mg6AlAg12
_chemical_formula_sum 'Mg6 Al1 Ag12'
_space_group_name_H-M_alt 'P 1'
_space_group_IT_number 1
_cell_length_a 7.094
_cell_length_b 7.094
_cell_length_c 7.094
_cell_angle_alpha 92.31
_cell_angle_beta 92.31
_cell_angle_gamma 92.31
loop_
_space_group_symop_operation_xyz
'x,y,z'
loop_
_atom_site_label
_atom_site_type_symbol
_atom_site_fract_x
_atom_site_fract_y
_atom_site_fract_z
Al1 Al 0.000 0.000 0.000
Ag1 Ag 0.536 0.447 0.795
Ag2 Ag 0.144 0.362 0.033
Ag3 Ag 0.638 0.967 0.856
Ag4 Ag 0.205 0.464 0.553
Ag5 Ag 0.795 0.536 0.447
Ag6 Ag 0.856 0.638 0.967
Ag7 Ag 0.464 0.553 0.205
Ag8 Ag 0.362 0.033 0.144
Ag9 Ag 0.033 0.144 0.362
Ag10 Ag 0.553 0.205 0.464
Ag11 Ag 0.447 0.795 0.536
Ag12 Ag 0.967 0.856 0.638
Mg1 Mg 0.728 0.287 0.117
Mg2 Mg 0.272 0.713 0.883
Mg3 Mg 0.713 0.883 0.272
Mg4 Mg 0.287 0.117 0.728
Mg5 Mg 0.117 0.728 0.287
Mg6 Mg 0.883 0.272 0.713

[2]
# MgAl3Ag2, optimized geometry, DFT PBE
# Crystal system: hexagonal
# Fermi-level density of states: 0.155 states/eV/atom
# Space-group type: P6/mmm, No. 191
# ΔE_f: 7 meV/atom
data_MgAl3Ag2
_chemical_formula_sum 'Mg1 Al3 Ag2'
_space_group_name_H-M_alt 'P 1'
_space_group_IT_number 1
_cell_length_a 4.412
_cell_length_b 5.429
_cell_length_c 5.429
_cell_angle_alpha 120.00
_cell_angle_beta 90.00
_cell_angle_gamma 90.00
loop_
_space_group_symop_operation_xyz
'x,y,z'
loop_
_atom_site_label
_atom_site_type_symbol
_atom_site_fract_x
_atom_site_fract_y
_atom_site_fract_z
Al1 Al 0.500 0.501 0.000
Al2 Al 0.500 0.001 0.500
Al3 Al 0.500 0.501 0.500
Mg1 Mg 0.000 0.001 0.000
Ag1 Ag 0.000 0.668 0.333
Ag2 Ag 0.000 0.334 0.667

[3]
# MgAl3Ag6, optimized geometry, DFT PBE
# Crystal system: monoclinic
# Fermi-level density of states: 0.246 states/eV/atom
# Energy above the most stable polymorph in this dataset: 0 meV per atom
# Space-group type: P2_1/m, No. 11
# ΔE_f: -87 meV/atom
data_MgAl3Ag6
_chemical_formula_sum 'Mg2 Al6 Ag12'
_space_group_name_H-M_alt 'P 1'
_space_group_IT_number 1
_cell_length_a 4.365
_cell_length_b 8.404
_cell_length_c 9.470
_cell_angle_alpha 98.83
_cell_angle_beta 90.00
_cell_angle_gamma 90.00
loop_
_space_group_symop_operation_xyz
'x,y,z'
loop_
_atom_site_label
_atom_site_type_symbol
_atom_site_fract_x
_atom_site_fract_y
_atom_site_fract_z
Ag1 Ag 0.750 0.157 0.710
Ag2 Ag 0.750 0.530 0.899
Ag3 Ag 0.750 0.738 0.483
Ag4 Ag 0.250 0.053 0.907
Ag5 Ag 0.750 0.834 0.789
Ag6 Ag 0.250 0.843 0.290
Ag7 Ag 0.250 0.470 0.101
Ag8 Ag 0.750 0.382 0.305
Ag9 Ag 0.250 0.262 0.517
Ag10 Ag 0.250 0.166 0.211
Ag11 Ag 0.750 0.947 0.093
Ag12 Ag 0.250 0.618 0.695
Al1 Al 0.250 0.554 0.400
Al2 Al 0.750 0.446 0.600
Al3 Al 0.250 0.337 0.812
Al4 Al 0.250 0.753 0.984
Al5 Al 0.750 0.247 0.016
Al6 Al 0.750 0.663 0.188
Mg1 Mg 0.750 0.062 0.396
Mg2 Mg 0.250 0.938 0.604

[4]
# MgAl6Ag12, optimized geometry, DFT PBE
# Crystal system: trigonal
# Fermi-level density of states: 0.315 states/eV/atom
# Energy above the most stable polymorph in this dataset: 0 meV per atom
# Space-group type: R-3, No. 148
# ΔE_f: -64 meV/atom
data_MgAl6Ag12
_chemical_formula_sum 'Mg1 Al6 Ag12'
_space_group_name_H-M_alt 'P 1'
_space_group_IT_number 1
_cell_length_a 7.112
_cell_length_b 7.634
_cell_length_c 7.634
_cell_angle_alpha 69.19
_cell_angle_beta 71.91
_cell_angle_gamma 108.09
loop_
_space_group_symop_operation_xyz
'x,y,z'
loop_
_atom_site_label
_atom_site_type_symbol
_atom_site_fract_x
_atom_site_fract_y
_atom_site_fract_z
Ag1 Ag 0.794 0.270 0.878
Ag2 Ag 0.109 0.372 0.061
Ag3 Ag 0.475 0.148 0.730
Ag4 Ag 0.327 0.122 0.148
Ag5 Ag 0.170 0.061 0.566
Ag6 Ag 0.673 0.878 0.852
Ag7 Ag 0.206 0.730 0.122
Ag8 Ag 0.891 0.628 0.939
Ag9 Ag 0.525 0.852 0.270
Ag10 Ag 0.263 0.434 0.628
Ag11 Ag 0.737 0.566 0.372
Ag12 Ag 0.830 0.939 0.434
Al1 Al 0.356 0.787 0.693
Al2 Al 0.431 0.480 0.213
Al3 Al 0.644 0.213 0.307
Al4 Al 0.049 0.693 0.520
Al5 Al 0.569 0.520 0.787
Al6 Al 0.951 0.307 0.480
Mg1 Mg 0.000 0.000 0.000

Question: ΔE_f of number 1 (Mg6AlAg12)?
Answer: -110 meV/atom

Question: Among the records above, which one has the lowest ΔE_f?
Answer: Mg6AlAg12